(1)
Material: AgOs2Au
Method: DFT, PBE
State: optimized geometry

Computed properties:
The crystal system is orthorhombic. Its polymorph energy (0 for the lowest one) is 172 kJ/mol of formula units. The space group is Pmmm (47). As for the total moment: 0.00 μB per formula unit. The calculation puts the formation energy at 0.76 eV/atom. For the calculated volume, the calculation gives 16.17 Å³/atom. Its density of states at the Fermi level is 4.90 states/eV/cell. As for the final energy: -25.5 eV/cell.

a = 2.756 Å, b = 4.725 Å, c = 4.967 Å
α = 90.00°, β = 90.00°, γ = 90.00°
Sites, in units of the cell vectors:
Ag1 0.000 0.000 0.000
Os1 0.000 0.500 0.500
Os2 0.500 0.000 0.500
Au1 0.500 0.500 0.000

***

(2)
Material: AgOs2Au
Method: DFT, PBE
State: optimized geometry

Computed properties:
The crystal system is orthorhombic. Its polymorph energy (0 for the lowest one) is 221 kJ/mol of formula units. The space group is Cmmm (65). As for the total moment: 0.00 μB per formula unit. The calculation puts the formation energy at 0.89 eV/atom. For the calculated volume, the calculation gives 15.97 Å³/atom. Its density of states at the Fermi level is 5.27 states/eV/cell. As for the final energy: -25.0 eV/cell.

a = 5.162 Å, b = 5.162 Å, c = 2.696 Å
α = 90.00°, β = 90.00°, γ = 117.21°
Sites, in units of the cell vectors:
Ag1 0.000 0.000 0.000
Os1 0.000 0.500 0.500
Os2 0.500 0.000 0.500
Au1 0.500 0.500 0.000

***

(3)
Material: Ag2OsAu
Method: DFT, PBE
State: optimized geometry

Computed properties:
The crystal system is orthorhombic. Its polymorph energy (0 for the lowest one) is 28 kJ/mol of formula units. The space group is Cmm2 (35). As for the total moment: 0.00 μB per formula unit. The calculation puts the formation energy at 0.45 eV/atom. For the calculated volume, the calculation gives 16.96 Å³/atom. Its density of states at the Fermi level is 3.03 states/eV/cell. As for the final energy: -18.4 eV/cell.

a = 2.779 Å, b = 2.779 Å, c = 10.041 Å
α = 90.00°, β = 90.00°, γ = 118.99°
Sites, in units of the cell vectors:
Ag1 0.000 0.000 0.000
Ag2 0.500 0.500 0.251
Os1 0.500 0.500 0.754
Au1 0.000 0.000 0.505

***

(4)
Material: AgOsAu2
Method: DFT, PBE
State: optimized geometry

Computed properties:
The crystal system is orthorhombic. Its polymorph energy (0 for the lowest one) is 95 kJ/mol of formula units. The space group is Pmmm (47). As for the total moment: 0.00 μB per formula unit. The calculation puts the formation energy at 0.61 eV/atom. For the calculated volume, the calculation gives 17.12 Å³/atom. Its density of states at the Fermi level is 3.48 states/eV/cell. As for the final energy: -18.2 eV/cell.

a = 2.748 Å, b = 4.964 Å, c = 5.020 Å
α = 90.00°, β = 90.00°, γ = 90.00°
Sites, in units of the cell vectors:
Ag1 0.000 0.000 0.000
Os1 0.500 0.000 0.500
Au1 0.000 0.500 0.500
Au2 0.500 0.500 0.000

***

(5)
Material: AgOsAu3
Method: DFT, PBE
State: optimized geometry

Computed properties:
The crystal system is cubic. Its polymorph energy (0 for the lowest one) is 0 kJ/mol of formula units. The space group is Pm-3m (221). As for the total moment: 1.79 μB per formula unit. The calculation puts the formation energy at 1.22 eV/atom. For the calculated volume, the calculation gives 25.58 Å³/atom. Its density of states at the Fermi level is 3.71 states/eV/cell. As for the final energy: -17.8 eV/cell.

a = 5.039 Å, b = 5.039 Å, c = 5.039 Å
α = 90.00°, β = 90.00°, γ = 90.00°
Sites, in units of the cell vectors:
Ag1 0.000 0.000 0.000
Os1 0.500 0.500 0.500
Au1 0.000 0.500 0.500
Au2 0.500 0.000 0.500
Au3 0.500 0.500 0.000

***

(6)
Material: AgOsAu2
Method: DFT, PBE
State: optimized geometry

Computed properties:
The crystal system is cubic. Its polymorph energy (0 for the lowest one) is 124 kJ/mol of formula units. The space group is Fm-3m (225). As for the total moment: 1.86 μB per formula unit. The calculation puts the formation energy at 0.68 eV/atom. For the calculated volume, the calculation gives 17.21 Å³/atom. Its density of states at the Fermi level is 3.86 states/eV/cell. As for the final energy: -17.9 eV/cell.

a = 4.600 Å, b = 4.600 Å, c = 4.600 Å
α = 60.00°, β = 60.00°, γ = 60.00°
Sites, in units of the cell vectors:
Ag1 0.000 0.000 0.000
Os1 0.500 0.500 0.500
Au1 0.250 0.250 0.250
Au2 0.750 0.750 0.750

***

(7)
Material: Ag2OsAu
Method: DFT, PBE
State: optimized geometry

Computed properties:
The crystal system is monoclinic. Its polymorph energy (0 for the lowest one) is 60 kJ/mol of formula units. The space group is Cm (8). As for the total moment: 0.00 μB per formula unit. The calculation puts the formation energy at 0.54 eV/atom. For the calculated volume, the calculation gives 16.84 Å³/atom. Its density of states at the Fermi level is 2.68 states/eV/cell. As for the final energy: -18.1 eV/cell.

a = 5.042 Å, b = 5.042 Å, c = 5.172 Å
α = 98.22°, β = 98.22°, γ = 31.19°
Sites, in units of the cell vectors:
Ag1 0.000 0.000 0.000
Ag2 0.245 0.245 0.769
Os1 0.745 0.745 0.272
Au1 0.488 0.488 0.486

***

(8)
Material: Ag2OsAu
Method: DFT, PBE
State: optimized geometry

Computed properties:
The crystal system is tetragonal. Its polymorph energy (0 for the lowest one) is 141 kJ/mol of formula units. The space group is P4/mmm (123). As for the total moment: 0.89 μB per formula unit. The calculation puts the formation energy at 0.75 eV/atom. For the calculated volume, the calculation gives 16.95 Å³/atom. Its density of states at the Fermi level is 5.03 states/eV/cell. As for the final energy: -17.2 eV/cell.

a = 3.962 Å, b = 3.962 Å, c = 4.320 Å
α = 90.00°, β = 90.00°, γ = 90.00°
Sites, in units of the cell vectors:
Ag1 0.000 0.500 0.000
Ag2 0.500 0.000 0.000
Os1 0.000 0.000 0.500
Au1 0.500 0.500 0.500